Density functional theory data (PBE-GGA) for an optimized crystal structure of Ce5In3.

Computed properties:
**SG**: I-4m2
**Uncorrected energy**: -0.365 Ry per atom
**Size of the total moment**: 3.42 μB/f.u.
**Energy above the most stable polymorph in this dataset**: 0.0000 eV per atom

The structure in extended XYZ format:
```
8
Lattice="-2.361 2.361 9.784 2.361 -2.361 9.784 2.361 2.361 -9.784" Properties=species:S:1:pos:R:3 pbc="T T T"
Ce 0.000 0.000 0.000
Ce 0.000 0.000 4.585
Ce 0.000 2.361 2.578
Ce 0.000 0.000 14.983
Ce 0.000 2.361 7.206
In 2.361 0.000 2.388
In 2.361 0.000 7.396
In 0.000 0.000 9.784
```

---

Density functional theory data (PBE-GGA) for an optimized crystal structure of Ce4In3.

Computed properties:
**SG**: P6/mmm
**Uncorrected energy**: -0.355 Ry per atom
**Size of the total moment**: 3.70 μB/f.u.

The structure in extended XYZ format:
```
7
Lattice="6.044 0.000 0.000 -3.022 5.235 0.000 0.000 0.000 6.066" Properties=species:S:1:pos:R:3 pbc="T T T"
Ce 0.000 0.000 1.341
Ce 0.000 0.000 4.725
Ce 0.000 3.490 0.000
Ce 3.022 1.745 0.000
In -1.511 2.617 3.033
In 3.022 0.000 3.033
In 1.511 2.617 3.033
```

---

Density functional theory data (PBE-GGA) for an optimized crystal structure of Ce2In3.

Computed properties:
**SG**: P4/mbm
**Uncorrected energy**: -0.319 Ry per atom
**Size of the total moment**: 1.71 μB/f.u.
**Energy above the most stable polymorph in this dataset**: 0.0000 eV per atom

The structure in extended XYZ format:
```
10
Lattice="7.725 0.000 0.000 0.000 7.725 0.000 0.000 0.000 4.791" Properties=species:S:1:pos:R:3 pbc="T T T"
Ce 1.301 2.562 0.000
Ce 2.562 6.424 0.000
Ce 5.163 1.301 0.000
Ce 6.424 5.163 0.000
In 0.000 0.000 2.396
In 1.023 4.886 2.396
In 2.839 1.023 2.396
In 3.862 3.862 2.396
In 4.886 6.702 2.396
In 6.702 2.839 2.396
```

---

Density functional theory data (PBE-GGA) for an optimized crystal structure of Ce2In3.

Computed properties:
**SG**: I4/mmm
**Uncorrected energy**: -0.315 Ry per atom
**Size of the total moment**: 2.82 μB/f.u.
**Energy above the most stable polymorph in this dataset**: 0.0467 eV per atom

The structure in extended XYZ format:
```
5
Lattice="-1.768 1.768 10.995 1.768 -1.768 10.995 1.768 1.768 -10.995" Properties=species:S:1:pos:R:3 pbc="T T T"
Ce 0.000 0.000 2.262
Ce 0.000 0.000 19.729
In 0.000 0.000 6.458
In 0.000 0.000 10.995
In 0.000 0.000 15.533
```